1.
A relaxed YMg2Cd crystal, computed with GGA-PBEsol.

The structure in CIF format:
```
data_YMg2Cd
_chemical_formula_sum 'Y1 Mg2 Cd1'
_cell_length_a 3.272
_cell_length_b 4.808
_cell_length_c 6.290
_cell_angle_alpha 90.00
_cell_angle_beta 105.00
_cell_angle_gamma 90.00
_symmetry_space_group_name_H-M 'P 1'
_symmetry_Int_Tables_number 1
loop_
_symmetry_equiv_pos_as_xyz
'x,y,z'
loop_
_atom_site_label
_atom_site_fract_x
_atom_site_fract_y
_atom_site_fract_z
_atom_site_occupancy
Y1 0.454 0.000 0.531 1
Mg1 0.191 0.000 0.008 1
Mg2 0.796 0.500 0.216 1
Cd1 0.059 0.500 0.744 1
```

## Properties
SG: Pm, No. 6

2.
A relaxed Sc2HgMo crystal, computed with GGA-PBEsol.

The structure in CIF format:
```
data_Sc2HgMo
_chemical_formula_sum 'Sc2 Hg1 Mo1'
_cell_length_a 3.324
_cell_length_b 3.324
_cell_length_c 6.901
_cell_angle_alpha 90.00
_cell_angle_beta 90.00
_cell_angle_gamma 90.00
_symmetry_space_group_name_H-M 'P 1'
_symmetry_Int_Tables_number 1
loop_
_symmetry_equiv_pos_as_xyz
'x,y,z'
loop_
_atom_site_label
_atom_site_fract_x
_atom_site_fract_y
_atom_site_fract_z
_atom_site_occupancy
Hg1 0.500 0.500 0.000 1
Mo1 0.500 0.500 0.500 1
Sc1 0.000 0.000 0.726 1
Sc2 0.000 0.000 0.274 1
```

## Properties
SG: P4/mmm, No. 123

| no. | calculated formation energy (kJ/mol of atoms) |
| --- | --- |
| 1 | -15.06 |
| 2 | -15.43 |